[1]
Density functional theory data (GGA-PBE) for a relaxed structure of HfCuRu2Pb.

The structure in POSCAR format:
```
HfCuRu2Pb
1.0
4.7735 0.0000 0.0000
0.0000 4.9392 0.0000
0.0000 0.0000 4.7735
Pb Ru Hf Cu
1 2 1 1
direct
0.5000 0.5000 0.5000
0.0000 0.0000 0.5000
0.5000 0.0000 0.0000
0.0000 0.0000 0.0000
0.0000 0.5000 0.0000
```

The total DFT energy (no corrections) comes out at -6.144 eV per atom. As for the mass density: 9.61 g cm⁻³. Its calculated formation energy is 1118 meV/atom.


[2]
Density functional theory data (GGA-PBE) for a relaxed structure of HfCuPb2S5.

The structure in POSCAR format:
```
HfCuPb2S5
1.0
-1.9945 2.0550 2.4468
3.2022 -6.3459 5.0406
10.2141 7.0587 2.3977
Hf Cu Pb S
2 2 4 10
direct
0.8005 0.6010 0.5220
0.1995 0.3990 0.0220
0.5652 0.1304 0.9429
0.4348 0.8696 0.4429
0.8793 0.7586 0.8179
0.1067 0.2135 0.6630
0.1207 0.2414 0.3179
0.8933 0.7865 0.1630
0.3504 0.7008 0.0032
0.6966 0.3931 0.8852
0.5026 0.0053 0.7855
0.2854 0.5707 0.6609
0.9498 0.8996 0.5433
0.6496 0.2992 0.5032
0.3034 0.6069 0.3852
0.4974 0.9947 0.2855
0.7146 0.4293 0.1609
0.0502 0.1004 0.0433
```

The total DFT energy (no corrections) comes out at -5.434 eV per atom. As for the mass density: 6.69 g cm⁻³. For the formation energy without anion corrections, the calculation gives -0.76 eV/atom.


[3]
Density functional theory data (GGA-PBE) for a relaxed structure of Hf2CuTcPb.

The structure in POSCAR format:
```
Hf2CuTcPb
1.0
-2.8603 1.6410 -3.5229
-3.3428 -2.8237 1.3988
-1.6657 3.4344 2.9522
Pb Hf Tc Cu
1 2 1 1
direct
0.5000 0.5000 0.5000
0.0000 0.0000 0.5000
0.5000 0.0000 0.0000
0.0000 0.5000 0.0000
0.0000 0.0000 0.0000
```

The total DFT energy (no corrections) comes out at -6.994 eV per atom. As for the mass density: 11.27 g cm⁻³. Its calculated formation energy is 622 meV/atom.